BeIrF2 | GGA-PBE | optimized geometry

Summary:
calculated total energy	-23.5	eV per formula unit
raw formation energy	-1780	meV/atom
energy above the lowest structure with this stoichiometry	0.000	eV/atom

abc: 2.5843 2.5843 28.3056
angles: 90.00 90.00 120.00
Space group R-3m (No. 166, hexagonal axes)
One atom of each set of equivalent atoms:
Be 0.0000 0.0000 0.0000
Ir 0.0000 0.0000 0.5000
F 0.0000 0.0000 0.3655